Record 1
Entry from Alexandria: BeS2N at its PBEsol-relaxed geometry (meta-GGA SCAN).

Lattice parameters (Å, degrees): 3.9591 3.9591 3.9591 60.00 60.00 60.00
Positions (direct):
Be 0.0000 0.0000 0.0000
S 0.2500 0.2500 0.2500
S 0.7500 0.7500 0.7500
N 0.5000 0.5000 0.5000

Output
Calculated volume   11.0 Å³ per atom
Energy   -26.439 eV for the cell shown
Space-group type   Fm-3m (225)
Relative energy among the computed polymorphs   1352 meV per atom
ΔE_f (raw)   1.616 eV per atom


Record 2
Entry from Alexandria: BeS2N2 at its PBEsol-relaxed geometry (meta-GGA SCAN).

Lattice parameters (Å, degrees): 3.2434 3.2434 6.5924 90.00 90.00 90.00
Positions (direct):
Be 0.0000 0.0000 0.0000
S 0.5000 0.5000 0.0000
S 0.5000 0.5000 0.5000
N 0.0000 0.5000 0.5000
N 0.5000 0.0000 0.5000

Output
Calculated volume   13.9 Å³ per atom
Energy   -36.381 eV for the cell shown
Space-group type   P4/mmm (123)
ΔE_f (raw)   1.162 eV per atom


Record 3
Entry from Alexandria: BeS2N at its PBEsol-relaxed geometry (meta-GGA SCAN).

Lattice parameters (Å, degrees): 5.7677 5.7677 5.7677 34.00 34.00 34.00
Positions (direct):
Be 0.0000 0.0000 0.0000
S 0.4043 0.4043 0.4043
S 0.5957 0.5957 0.5957
N 0.5000 0.5000 0.5000

Output
Calculated volume   13.4 Å³ per atom
Energy   -31.848 eV for the cell shown
Space-group type   R-3m (166)
Relative energy among the computed polymorphs   0 meV per atom
ΔE_f (raw)   0.263 eV per atom


Record 4
Entry from Alexandria: BeSeS2N at its PBEsol-relaxed geometry (meta-GGA SCAN).

Lattice parameters (Å, degrees): 4.5877 4.5877 3.1772 90.00 90.00 90.00
Positions (direct):
Be 0.0000 0.0000 0.0000
Se 0.5000 0.5000 0.5000
S 0.0000 0.5000 0.0000
S 0.5000 0.0000 0.0000
N 0.0000 0.0000 0.5000

Output
Calculated volume   13.4 Å³ per atom
Energy   -49.262 eV for the cell shown
Space-group type   P4/mmm (123)
ΔE_f (raw)   0.743 eV per atom


Record 5
Entry from Alexandria: BeSnSN2 at its PBEsol-relaxed geometry (meta-GGA SCAN).

Lattice parameters (Å, degrees): 3.9567 3.9567 5.3931 90.00 90.00 90.00
Positions (direct):
Be 0.0000 0.0000 0.0000
Sn 0.5000 0.5000 0.5000
S 0.5000 0.5000 0.0000
N 0.0000 0.5000 0.5000
N 0.5000 0.0000 0.5000

Output
Calculated volume   16.9 Å³ per atom
Energy   -61.120 eV for the cell shown
Space-group type   P4/mmm (123)
ΔE_f (raw)   1.473 eV per atom


Record 6
Entry from Alexandria: BeTeS2N at its PBEsol-relaxed geometry (meta-GGA SCAN).

Lattice parameters (Å, degrees): 4.9943 4.9943 3.8349 90.00 90.00 90.00
Positions (direct):
Be 0.0000 0.0000 0.0000
Te 0.5000 0.5000 0.5000
S 0.0000 0.5000 0.5000
S 0.5000 0.0000 0.5000
N 0.5000 0.5000 0.0000

Output
Calculated volume   19.1 Å³ per atom
Energy   -63.715 eV for the cell shown
Space-group type   P4/mmm (123)
ΔE_f (raw)   1.287 eV per atom


Record 7
Entry from Alexandria: BeTlS2N at its PBEsol-relaxed geometry (meta-GGA SCAN).

Lattice parameters (Å, degrees): 4.8223 4.8223 3.2497 90.00 90.00 90.00
Positions (direct):
Be 0.0000 0.0000 0.0000
Tl 0.5000 0.5000 0.5000
S 0.0000 0.5000 0.0000
S 0.5000 0.0000 0.0000
N 0.0000 0.0000 0.5000

Output
Calculated volume   15.1 Å³ per atom
Energy   -102.709 eV for the cell shown
Space-group type   P4/mmm (123)
ΔE_f (raw)   0.510 eV per atom


Record 8
Entry from Alexandria: YBeS2N at its PBEsol-relaxed geometry (meta-GGA SCAN).

Lattice parameters (Å, degrees): 4.5722 4.5722 3.4090 90.00 90.00 90.00
Positions (direct):
Y 0.0000 0.0000 0.0000
Be 0.5000 0.5000 0.5000
S 0.0000 0.5000 0.5000
S 0.5000 0.0000 0.5000
N 0.5000 0.5000 0.0000

Output
Calculated volume   14.3 Å³ per atom
Energy   -64.378 eV for the cell shown
Space-group type   P4/mmm (123)
ΔE_f (raw)   -0.727 eV per atom


Record 9
Entry from Alexandria: ZrBeSN2 at its PBEsol-relaxed geometry (meta-GGA SCAN).

Lattice parameters (Å, degrees): 3.9500 3.9500 5.3554 90.00 90.00 90.00
Positions (direct):
Zr 0.0000 0.0000 0.0000
Be 0.5000 0.5000 0.5000
S 0.0000 0.0000 0.5000
N 0.0000 0.5000 0.0000
N 0.5000 0.0000 0.0000

Output
Calculated volume   16.7 Å³ per atom
Energy   -60.533 eV for the cell shown
Space-group type   P4/mmm (123)
ΔE_f (raw)   0.546 eV per atom


Record 10
Entry from Alexandria: Be3SbN at its PBEsol-relaxed geometry (meta-GGA SCAN).

Lattice parameters (Å, degrees): 4.4374 4.4374 4.4374 90.00 90.00 90.00
Positions (direct):
Be 0.0000 0.0000 0.5000
Be 0.0000 0.5000 0.0000
Be 0.5000 0.0000 0.0000
Sb 0.0000 0.0000 0.0000
N 0.5000 0.5000 0.5000

Output
Calculated volume   17.5 Å³ per atom
Energy   -49.066 eV for the cell shown
Space-group type   Pm-3m (221)
ΔE_f (raw)   2.109 eV per atom


Record 11
Entry from Alexandria: Be2SbN at its PBEsol-relaxed geometry (meta-GGA SCAN).

Lattice parameters (Å, degrees): 5.4190 5.4190 5.4190 123.93 123.93 83.32
Positions (direct):
Be 0.3750 0.1977 0.3227
Be 0.8023 0.1250 0.1773
Be 0.8750 0.0523 0.6773
Be 0.9477 0.6250 0.8227
Sb 0.2500 0.7500 0.5000
Sb 0.5000 0.5000 0.0000
N 0.0000 0.0000 0.0000
N 0.7500 0.2500 0.5000

Output
Calculated volume   13.1 Å³ per atom
Energy   -112.850 eV for the cell shown
Space-group type   I-42d (122)
ΔE_f (raw)   -0.292 eV per atom


Record 12
Entry from Alexandria: ScBeN3 at its PBEsol-relaxed geometry (meta-GGA SCAN).

Lattice parameters (Å, degrees): 3.4761 3.4761 3.4761 90.00 90.00 90.00
Positions (direct):
Sc 0.0000 0.0000 0.0000
Be 0.5000 0.5000 0.5000
N 0.0000 0.5000 0.5000
N 0.5000 0.0000 0.5000
N 0.5000 0.5000 0.0000

Output
Calculated volume   8.4 Å³ per atom
Energy   -45.774 eV for the cell shown
Space-group type   Pm-3m (221)
ΔE_f (raw)   0.138 eV per atom


Record 13
Entry from Alexandria: ScBeN3 at its PBEsol-relaxed geometry (meta-GGA SCAN).

Lattice parameters (Å, degrees): 4.0325 4.0325 4.0325 90.00 90.00 90.00
Positions (direct):
Sc 0.0000 0.0000 0.0000
Be 0.5000 0.5000 0.5000
N 0.0000 0.0000 0.5000
N 0.0000 0.5000 0.0000
N 0.5000 0.0000 0.0000

Output
Calculated volume   13.1 Å³ per atom
Energy   -39.474 eV for the cell shown
Space-group type   Pm-3m (221)
ΔE_f (raw)   1.398 eV per atom


Record 14
Entry from Alexandria: Sc2BeN at its PBEsol-relaxed geometry (meta-GGA SCAN).

Lattice parameters (Å, degrees): 7.5843 7.5843 7.5843 27.60 27.60 27.60
Positions (direct):
Sc 0.0840 0.0840 0.0840
Sc 0.9160 0.9160 0.9160
Be 0.5000 0.5000 0.5000
N 0.0000 0.0000 0.0000

Output
Calculated volume   20.7 Å³ per atom
Energy   -41.537 eV for the cell shown
Space-group type   R-3m (166)
ΔE_f (raw)   0.145 eV per atom


Record 15
Entry from Alexandria: Sc2BeN at its PBEsol-relaxed geometry (meta-GGA SCAN).

Lattice parameters (Å, degrees): 4.1978 4.1978 4.1978 60.00 60.00 60.00
Positions (direct):
Sc 0.2500 0.2500 0.2500
Sc 0.7500 0.7500 0.7500
Be 0.0000 0.0000 0.0000
N 0.5000 0.5000 0.5000

Output
Calculated volume   13.1 Å³ per atom
Energy   -41.539 eV for the cell shown
Space-group type   Fm-3m (225)
ΔE_f (raw)   0.145 eV per atom


Record 16
Entry from Alexandria: ScBeTe2N at its PBEsol-relaxed geometry (meta-GGA SCAN).

Lattice parameters (Å, degrees): 5.4135 5.4135 3.1235 90.00 90.00 90.00
Positions (direct):
Sc 0.0000 0.0000 0.0000
Be 0.5000 0.5000 0.5000
Te 0.0000 0.5000 0.5000
Te 0.5000 0.0000 0.5000
N 0.5000 0.5000 0.0000

Output
Calculated volume   18.3 Å³ per atom
Energy   -103.029 eV for the cell shown
Space-group type   P4/mmm (123)
ΔE_f (raw)   -0.129 eV per atom


Record 17
Entry from Alexandria: BeSe2N at its PBEsol-relaxed geometry (meta-GGA SCAN).

Lattice parameters (Å, degrees): 4.1953 4.1953 4.1953 60.00 60.00 60.00
Positions (direct):
Be 0.0000 0.0000 0.0000
Se 0.2500 0.2500 0.2500
Se 0.7500 0.7500 0.7500
N 0.5000 0.5000 0.5000

Output
Calculated volume   13.1 Å³ per atom
Energy   -48.072 eV for the cell shown
Space-group type   Fm-3m (225)
ΔE_f (raw)   1.432 eV per atom


Record 18
Entry from Alexandria: BeSeN2 at its PBEsol-relaxed geometry (meta-GGA SCAN).

Lattice parameters (Å, degrees): 3.7227 3.7227 3.7227 60.00 60.00 60.00
Positions (direct):
Be 0.0000 0.0000 0.0000
Se 0.5000 0.5000 0.5000
N 0.2500 0.2500 0.2500
N 0.7500 0.7500 0.7500

Output
Calculated volume   9.1 Å³ per atom
Energy   -36.271 eV for the cell shown
Space-group type   Fm-3m (225)
ΔE_f (raw)   1.686 eV per atom


Record 19
Entry from Alexandria: Be3SeN at its PBEsol-relaxed geometry (meta-GGA SCAN).

Lattice parameters (Å, degrees): 4.0798 4.0798 4.0798 90.00 90.00 90.00
Positions (direct):
Be 0.0000 0.0000 0.5000
Be 0.0000 0.5000 0.0000
Be 0.5000 0.0000 0.0000
Se 0.0000 0.0000 0.0000
N 0.5000 0.5000 0.5000

Output
Calculated volume   13.6 Å³ per atom
Energy   -33.771 eV for the cell shown
Space-group type   Pm-3m (221)
ΔE_f (raw)   1.732 eV per atom


Record 20
Entry from Alexandria: YBeSe2N at its PBEsol-relaxed geometry (meta-GGA SCAN).

Lattice parameters (Å, degrees): 5.4089 5.4089 4.3036 90.00 90.00 90.00
Positions (direct):
Y 0.0000 0.0000 0.0000
Be 0.5000 0.5000 0.5000
Se 0.0000 0.5000 0.0000
Se 0.5000 0.0000 0.0000
N 0.0000 0.0000 0.5000

Output
Calculated volume   25.2 Å³ per atom
Energy   -79.213 eV for the cell shown
Space-group type   P4/mmm (123)
ΔE_f (raw)   0.486 eV per atom


Calculated DOS at the Fermi energy, 0.522 0.270 0.291 0.485 0.471 0.285 0.653 0.262 0.301 0.477 0.394 0.507 0.276 0.701 0.673 0.359 0.444 0.320 0.403 0.416 states/eV per atom (same order as the records).